This record from Alexandria describes a relaxed AcDy7 crystal. The functional is PBE.

Calculated values
* SG: Fm-3m (225)
* ΔE_f: 0.03 eV/atom
* D(E_F): 9.7 states/eV per cell

Structure (extended XYZ):
```
8
Lattice="-2.494 -4.231 -5.228 1.944 -6.900 -0.264 -4.778 -5.133 1.512" Properties=species:S:1:pos:R:3 pbc="T T T"
Dy -1.247 -2.116 -2.614
Dy -0.275 -5.566 -2.746
Ac 0.000 0.000 0.000
Dy -3.636 -4.682 -1.858
Dy -1.417 -6.016 0.624
Dy 0.972 -3.450 -0.132
Dy -2.389 -2.566 0.756
Dy -2.664 -8.132 -1.990
```